[1]
# GaCoTc2 (PBE, relaxed)
# Formation energy from the elements (eV/atom): 0.5099
data_GaCoTc2
_symmetry_space_group_name_H-M 'I -4 2 d'
_symmetry_Int_Tables_number 122
_symmetry_space_group_name_Hall 'I -4 2bw'
_cell_length_a 6.846
_cell_length_b 6.846
_cell_length_c 5.023
_cell_angle_alpha 90.00
_cell_angle_beta 90.00
_cell_angle_gamma 90.00
loop_
_atom_site_label
_atom_site_type_symbol
_atom_site_fract_x
_atom_site_fract_y
_atom_site_fract_z
Ga1 Ga 0.000 0.000 0.000
Co1 Co 0.000 0.000 0.500
Tc1 Tc 0.220 0.250 0.625

---

[2]
# ReNi2Te (PBE, relaxed)
# VASP energy (eV/f.u.): -24.97
data_ReNi2Te
_symmetry_space_group_name_H-M 'I m m m'
_symmetry_Int_Tables_number 71
_symmetry_space_group_name_Hall '-I 2 2'
_cell_length_a 3.094
_cell_length_b 4.436
_cell_length_c 8.565
_cell_angle_alpha 90.00
_cell_angle_beta 90.00
_cell_angle_gamma 90.00
loop_
_atom_site_label
_atom_site_type_symbol
_atom_site_fract_x
_atom_site_fract_y
_atom_site_fract_z
Re1 Re 0.000 0.000 0.000
Ni1 Ni 0.000 0.500 0.240
Te1 Te 0.000 0.000 0.500